VASP calculation (PBE) on crystalline Er3AlZn4 at its relaxed geometry.

Lattice parameters (Å, degrees): 3.556 6.125 16.410 90.00 90.00 90.00
Space group Immm (No. 71)
Inequivalent atoms, fractional coordinates:
Er: 0.000 0.000 0.000
Er: 0.000 0.500 0.219
Al: 0.000 0.000 0.500
Zn: 0.000 0.283 0.379

Values from the calculation:
The calculated volume comes out at 357 Å³ per cell. The value obtained for the calculated formation energy is -1.24 eV per formula unit. The calculation puts the uncorrected energy at -47.53 eV for the cell shown.